Record 1
Here is LiY2Er after structural relaxation from the Alexandria database. Energies are from PBE.

## Properties
VASP energy (eV for the cell shown): -18.83
Volume (Å³/atom): 29.2
N(E_F) (states/eV/f.u.): 4.91

Cell: 5.5640 5.5640 3.7689 Å, 90.00 90.00 90.00°
Last column: nearest neighbours and their distance in Å.
Space group P4/mmm (No. 123)
Unique sites:
Li (0.0000, 0.0000, 0.0000)  8 Y 3.36
Y (0.0000, 0.5000, 0.5000)  4 Er 3.36, 4 Li 3.36
Er (0.5000, 0.5000, 0.0000)  8 Y 3.36

=====

Record 2
Here is LiY2Er after structural relaxation from the Alexandria database. Energies are from PBE.

## Properties
VASP energy (eV for the cell shown): -57.10
Volume (Å³/atom): 29.8
N(E_F) (states/eV/f.u.): 4.83

Cell: 3.5201 3.5201 33.3731 Å, 90.00 90.00 120.00°
Last column: nearest neighbours and their distance in Å.
Space group R3m (No. 160, hexagonal axes)
Unique sites:
Li (0.0000, 0.0000, 0.0000)  6 Y 3.41, 6 Li 3.52
Y (0.0000, 0.0000, 0.4155)  3 Li 3.41, 3 Er 3.48, 6 Y 3.52
Y (0.0000, 0.0000, 0.5847)  3 Li 3.41, 3 Er 3.48, 6 Y 3.52
Er (0.0000, 0.0000, 0.8335)  6 Y 3.48, 6 Er 3.52

=====

Record 3
Here is Li2YEr after structural relaxation from the Alexandria database. Energies are from PBE.

## Properties
VASP energy (eV for the cell shown): -57.09
Volume (Å³/atom): 25.3
N(E_F) (states/eV/f.u.): 3.92

Cell: 7.3986 7.3986 7.3986 Å, 90.00 90.00 90.00°
Last column: nearest neighbours and their distance in Å.
Space group Fm-3m (No. 225)
Unique sites:
Li (0.2500, 0.2500, 0.2500)  4 Er 3.20, 4 Y 3.20
Y (0.0000, 0.0000, 0.0000)  8 Li 3.20
Er (0.0000, 0.0000, 0.5000)  8 Li 3.20

=====

Record 4
Here is LiY2Er after structural relaxation from the Alexandria database. Energies are from PBE.

## Properties
VASP energy (eV for the cell shown): -74.87
Volume (Å³/atom): 29.0
N(E_F) (states/eV/f.u.): 3.28

Cell: 7.7411 7.7411 7.7411 Å, 90.00 90.00 90.00°
Last column: nearest neighbours and their distance in Å.
Space group Fm-3m (No. 225)
Unique sites:
Li (0.0000, 0.0000, 0.0000)  8 Y 3.35
Y (0.2500, 0.2500, 0.2500)  4 Li 3.35, 4 Er 3.35
Er (0.0000, 0.0000, 0.5000)  8 Y 3.35

=====

Record 5
Here is LiErZn after structural relaxation from the Alexandria database. Energies are from PBE.

## Properties
VASP energy (eV for the cell shown): -8.08
Volume (Å³/atom): 20.4
N(E_F) (states/eV/f.u.): 2.20

Cell: 4.7240 4.7240 3.1691 Å, 90.00 90.00 120.00°
Last column: nearest neighbours and their distance in Å.
Space group P-6m2 (No. 187)
Unique sites:
Li (0.0000, 0.0000, 0.0000)  3 Zn 2.73
Er (0.6667, 0.3333, 0.5000)  6 Li 3.15, 6 Zn 3.15, 2 Er 3.17
Zn (0.3333, 0.6667, 0.0000)  3 Li 2.73

=====

Record 6
Here is LiErZn2 after structural relaxation from the Alexandria database. Energies are from PBE.

## Properties
VASP energy (eV for the cell shown): -9.86
Volume (Å³/atom): 18.7
N(E_F) (states/eV/f.u.): 3.34

Cell: 3.3118 3.3118 6.8299 Å, 90.00 90.00 90.00°
Last column: nearest neighbours and their distance in Å.
Space group P4/mmm (No. 123)
Unique sites:
Li (0.0000, 0.0000, 0.0000)  8 Zn 2.75
Er (0.0000, 0.0000, 0.5000)  8 Zn 3.06, 4 Er 3.31, 2 Li 3.41
Zn (0.5000, 0.5000, 0.2116)  4 Li 2.75, 1 Zn 2.89, 4 Er 3.06

=====

Record 7
Here is LiErZn17 after structural relaxation from the Alexandria database. Energies are from PBE.

## Properties
VASP energy (eV for the cell shown): -91.84
Volume (Å³/atom): 16.0
N(E_F) (states/eV/f.u.): 5.29

Cell: 8.9370 8.9370 13.1468 Å, 90.00 90.00 120.00°
Last column: nearest neighbours and their distance in Å.
Space group R3m (No. 160, hexagonal axes)
Unique sites:
Li (0.0000, 0.0000, 0.0000)  13 Zn 3.01-3.28
Er (0.0000, 0.0000, 0.3067)  19 Zn 3.13-3.41
Zn (0.0000, 0.0000, 0.5449)  13 Zn 2.69-3.00
Zn (0.0000, 0.0000, 0.7504)  7 Zn 2.70-2.81
Zn (0.0048, 0.3059, 0.6425)  8 Zn 2.58-2.78
Zn (0.0080, 0.5040, 0.1397)  10 Zn 2.58-2.74
Zn (0.0121, 0.5060, 0.7963)  8 Zn 2.53-2.76
Zn (0.1705, 0.3410, 0.8239)  9 Zn 2.53-2.81

=====

Record 8
Here is LiEr2Zn after structural relaxation from the Alexandria database. Energies are from PBE.

## Properties
VASP energy (eV for the cell shown): -51.11
Volume (Å³/atom): 22.9
N(E_F) (states/eV/f.u.): 4.93

Cell: 7.1511 7.1511 7.1511 Å, 90.00 90.00 90.00°
Last column: nearest neighbours and their distance in Å.
Space group Fm-3m (No. 225)
Unique sites:
Li (0.0000, 0.0000, 0.0000)  8 Er 3.10
Er (0.2500, 0.2500, 0.2500)  4 Zn 3.10, 4 Li 3.10
Zn (0.0000, 0.0000, 0.5000)  8 Er 3.10